{
  "formula": "Re2C3",
  "functional": "PBE",
  "state": "optimized geometry",
  "lattice_angstrom": [[-8.523, 1.238, -0.782], [-8.433, -1.791, -0.677], [-8.435, -0.184, 1.895]],
  "species": ["C", "C", "C", "Re", "Re"],
  "frac_coords": [[0.762, 0.762, 0.762], [0.000, 0.000, 0.000], [0.238, 0.238, 0.238], [0.392, 0.392, 0.392], [0.608, 0.608, 0.608]],
  "ef_ev_per_atom": 1.29,
  "rho_g_cm3": 10.06,
  "de_polymorph_mev_per_atom": 96,
  "dos_ef_per_ev_fu": 4.493,
  "spacegroup": "No. 166"
}